(1)
# TlClF3 (PBE-GGA, optimized geometry)
# Relative energy among the computed polymorphs = 0 meV per atom
# Crystal system = monoclinic
data_TlClF3
_cell_length_a 5.614
_cell_length_b 9.223
_cell_length_c 9.479
_cell_angle_alpha 113.87
_cell_angle_beta 90.00
_cell_angle_gamma 90.00
_space_group_name_H-M_alt 'P 1'
_space_group_IT_number 1
loop_
_space_group_symop_operation_xyz
'x,y,z'
loop_
_atom_site_label
_atom_site_type_symbol
_atom_site_fract_x
_atom_site_fract_y
_atom_site_fract_z
F1 F 0.551 0.869 0.032
F2 F 0.449 0.131 0.968
Tl1 Tl 0.750 0.101 0.099
F3 F 0.949 0.369 0.532
F4 F 0.550 0.537 0.375
Cl1 Cl 0.652 0.948 0.451
Cl2 Cl 0.152 0.552 0.049
F5 F 0.000 0.701 0.794
F6 F 0.450 0.463 0.625
F7 F 0.050 0.963 0.125
Tl2 Tl 0.250 0.899 0.901
Tl3 Tl 0.750 0.601 0.599
F8 F 0.950 0.037 0.875
Tl4 Tl 0.250 0.399 0.401
F9 F 0.500 0.201 0.294
F10 F 0.500 0.799 0.706
Cl3 Cl 0.848 0.448 0.951
F11 F 0.051 0.631 0.468
F12 F 0.000 0.299 0.206
Cl4 Cl 0.348 0.052 0.549



(2)
# Tl2ClF3 (PBE-GGA, optimized geometry)
# Crystal system = monoclinic
# N(E_F) = 0.0000 states/eV/atom
data_Tl2ClF3
_cell_length_a 4.485
_cell_length_b 9.059
_cell_length_c 7.912
_cell_angle_alpha 108.05
_cell_angle_beta 90.00
_cell_angle_gamma 104.33
_space_group_name_H-M_alt 'P 1'
_space_group_IT_number 1
loop_
_space_group_symop_operation_xyz
'x,y,z'
loop_
_atom_site_label
_atom_site_type_symbol
_atom_site_fract_x
_atom_site_fract_y
_atom_site_fract_z
F1 F 0.802 0.604 0.440
Cl1 Cl 0.146 0.291 0.996
F2 F 0.965 0.930 0.631
F3 F 0.035 0.070 0.369
Tl1 Tl 0.099 0.197 0.672
F4 F 0.402 0.804 0.373
Tl2 Tl 0.901 0.803 0.328
F5 F 0.198 0.396 0.560
Tl3 Tl 0.356 0.712 0.682
Tl4 Tl 0.644 0.288 0.318
Cl2 Cl 0.854 0.709 0.004
F6 F 0.598 0.196 0.627



(3)
# Tl4ClF5 (PBE-GGA, optimized geometry)
# Crystal system = orthorhombic
data_Tl4ClF5
_cell_length_a 6.970
_cell_length_b 8.013
_cell_length_c 7.638
_cell_angle_alpha 90.00
_cell_angle_beta 90.00
_cell_angle_gamma 90.00
_space_group_name_H-M_alt 'P 1'
_space_group_IT_number 1
loop_
_space_group_symop_operation_xyz
'x,y,z'
loop_
_atom_site_label
_atom_site_type_symbol
_atom_site_fract_x
_atom_site_fract_y
_atom_site_fract_z
F1 F 0.295 0.280 0.740
F2 F 0.705 0.220 0.760
Tl1 Tl 0.527 0.682 0.000
F3 F 0.295 0.720 0.740
Tl2 Tl 0.473 0.182 0.500
Tl3 Tl 0.998 0.000 0.784
Tl4 Tl 0.527 0.318 0.000
F4 F 0.705 0.780 0.760
Tl5 Tl 0.002 0.500 0.716
F5 F 0.295 0.720 0.260
F6 F 0.159 0.000 0.500
Tl6 Tl 0.998 0.000 0.216
F7 F 0.705 0.780 0.240
Tl7 Tl 0.002 0.500 0.284
F8 F 0.841 0.500 0.000
F9 F 0.295 0.280 0.260
Cl1 Cl 0.586 0.500 0.500
F10 F 0.705 0.220 0.240
Tl8 Tl 0.473 0.818 0.500
Cl2 Cl 0.414 0.000 0.000



(4)
# TlClF3 (PBE-GGA, optimized geometry)
# Relative energy among the computed polymorphs = 292 meV per atom
# Crystal system = cubic
# N(E_F) = 2.5245 states/eV/atom
data_TlClF3
_cell_length_a 4.430
_cell_length_b 4.430
_cell_length_c 4.430
_cell_angle_alpha 90.00
_cell_angle_beta 90.00
_cell_angle_gamma 90.00
_space_group_name_H-M_alt 'P 1'
_space_group_IT_number 1
loop_
_space_group_symop_operation_xyz
'x,y,z'
loop_
_atom_site_label
_atom_site_type_symbol
_atom_site_fract_x
_atom_site_fract_y
_atom_site_fract_z
Cl1 Cl 0.500 0.500 0.500
F1 F 0.000 0.500 0.000
F2 F 0.500 0.000 0.000
F3 F 0.000 0.000 0.500
Tl1 Tl 0.000 0.000 0.000



One value per record, in order, for E_tot: -16.76 -21.87 -36.23 -15.30 eV per formula unit.
One value per record, in order, for formation energy without anion corrections: -6.93 -9.68 -15.56 -5.47 eV/f.u..